InCI2: relaxed, PBE.

Summary:
Mass density   4.21 g/cm3
ΔE_f (raw)   1.102 eV per atom
Energy   -21.31 eV for the cell shown
Offset from the most stable computed form   531.9 meV per atom

Structure (POSCAR):
```
InCI2
1.0
-3.048 -5.754 3.751
6.752 -1.754 2.795
0.956 -0.565 7.438
C In I
2 2 4
direct
0.250 0.750 0.500
0.500 0.500 0.000
0.000 0.000 0.000
0.750 0.250 0.500
0.377 0.125 0.250
0.375 0.623 0.750
0.875 0.627 0.750
0.373 0.625 0.250
```